{
  "formula": "Zn3SeF",
  "functional": "PBE-GGA",
  "state": "optimized geometry",
  "lattice": [[-3.3480, -1.5297, 1.6472], [0.4715, -2.7862, -4.5120], [3.6399, -1.7876, 3.5119]],
  "species": ["Zn", "Zn", "Zn", "Se", "F"],
  "fractional_positions": [[0.0951, 0.3164, 0.0120], [0.5658, 0.0790, 0.1235], [0.0223, 0.8299, 0.6775], [0.4422, 0.7684, 0.3790], [0.9594, 0.4645, 0.7206]],
  "crystal_system": "triclinic",
  "e_above_lowest_polymorph_mev_per_atom": 44,
  "e_form_raw_ev_per_atom": -0.764
}

=====

{
  "formula": "V2CoPt2",
  "functional": "PBE-GGA",
  "state": "optimized geometry",
  "lattice": [[3.5920, -0.0274, 0.9642], [1.8606, 4.2729, 0.3744], [0.6869, 0.0220, 4.6241]],
  "species": ["V", "V", "Co", "Pt", "Pt"],
  "fractional_positions": [[0.7851, 0.1257, 0.8027], [0.2149, 0.8743, 0.1973], [0.0000, 0.5000, 0.0000], [0.4124, 0.2921, 0.3835], [0.5876, 0.7079, 0.6165]],
  "crystal_system": "monoclinic",
  "e_above_lowest_polymorph_mev_per_atom": 0,
  "delta_e_f_kj_per_mol_fu": -186
}

=====

{
  "formula": "La3ErAl4",
  "functional": "PBE-GGA",
  "state": "optimized geometry",
  "lattice": [[3.7342, 0.0000, 0.0000], [0.0000, 3.7342, 0.0000], [0.0000, 0.0000, 15.0482]],
  "species": ["Er", "Al", "Al", "Al", "Al", "La", "La", "La"],
  "fractional_positions": [[0.5000, 0.5000, 0.0000], [0.0000, 0.0000, 0.8926], [0.0000, 0.0000, 0.1074], [0.0000, 0.0000, 0.3712], [0.0000, 0.0000, 0.6288], [0.5000, 0.5000, 0.2417], [0.5000, 0.5000, 0.5000], [0.5000, 0.5000, 0.7583]],
  "crystal_system": "tetragonal",
  "delta_e_f_kj_per_mol_fu": -285
}

=====

{
  "formula": "Y12TmIn3",
  "functional": "PBE-GGA",
  "state": "optimized geometry",
  "lattice": [[-1.2189, -0.6793, 4.6759], [4.7238, -0.2835, 1.1902], [0.4311, 19.6318, 2.9643]],
  "species": ["Y", "Y", "Y", "Y", "Y", "Y", "Y", "Y", "Y", "Y", "Y", "Y", "Tm", "In", "In", "In"],
  "fractional_positions": [[0.5000, 0.5000, 0.0000], [0.5000, 0.5000, 0.2550], [0.5000, 0.5000, 0.5000], [0.5000, 0.5000, 0.7450], [0.5000, 0.0000, 0.1303], [0.5000, 0.0000, 0.3773], [0.5000, 0.0000, 0.6227], [0.5000, 0.0000, 0.8697], [0.0000, 0.5000, 0.1303], [0.0000, 0.5000, 0.3773], [0.0000, 0.5000, 0.6227], [0.0000, 0.5000, 0.8697], [0.0000, 0.0000, 0.0000], [0.0000, 0.0000, 0.2560], [0.0000, 0.0000, 0.5000], [0.0000, 0.0000, 0.7440]],
  "crystal_system": "tetragonal",
  "delta_e_f_kj_per_mol_fu": -303
}

=====

no.,calculated density (g cm⁻³)
1,4.8
2,13.4
3,5.5
4,5.5